Entry 1:
DFT (PBE) results for an optimized crystal structure of MnHg2Rh.

Values from the calculation:
Total magnetization (Bohr magnetons per cell): 4.37
DFT formation energy (eV per atom): 0.171
Fermi-level density of states (states/eV per atom): 0.286
Mass density (g cm⁻³): 13.152

Lattice parameters (Å, degrees): 5.1378 5.1378 5.1378 133.30 133.30 68.19
With the nearest neighbours (Å) after each atom.
Positions (direct):
Hg (0.0000, 0.0000, 0.0000)  4 Mn 2.88, 4 Hg 2.94, 4 Rh 2.94
Rh (0.7500, 0.2500, 0.5000)  8 Hg 2.88-2.94, 4 Mn 2.94
Mn (0.5000, 0.5000, 0.0000)  8 Hg 2.88-2.94, 4 Rh 2.94
Hg (0.2500, 0.7500, 0.5000)  4 Rh 2.88, 4 Hg 2.94, 4 Mn 2.94


Entry 2:
DFT (PBE) results for an optimized crystal structure of BaNdCrN3.

Values from the calculation:
Total magnetization (Bohr magnetons per cell): 0.00
Raw formation energy (eV per atom): -0.726
Fermi-level density of states (states/eV per atom): 0.270
Mass density (g cm⁻³): 6.460

Lattice parameters (Å, degrees): 3.8464 7.0042 7.7470 105.19 90.00 105.94
With the nearest neighbours (Å) after each atom.
Positions (direct):
Nd (0.3468, 0.6937, 0.4295)  7 N 2.46-2.64
N (0.8466, 0.6933, 0.6478)  1 Cr 2.03
N (0.8610, 0.7220, 0.2043)  1 Cr 1.79
Nd (0.6532, 0.3063, 0.5705)  7 N 2.46-2.64
N (0.5044, 0.0087, 0.3032)  2 Cr 1.93
Ba (0.6385, 0.2770, 0.0752)  7 N 2.85-3.04
N (0.1534, 0.3067, 0.3522)  1 Cr 2.03
Ba (0.3615, 0.7230, 0.9248)  7 N 2.85-3.04
N (0.1390, 0.2780, 0.7957)  1 Cr 1.79
Cr (0.0024, 0.0048, 0.6949)  3 N 1.79-1.93
N (0.4956, 0.9913, 0.6968)  2 Cr 1.93
Cr (0.9976, 0.9952, 0.3051)  3 N 1.79-1.93


Entry 3:
DFT (PBE) results for an optimized crystal structure of Nb3AgAs.

Values from the calculation:
Total magnetization (Bohr magnetons per cell): 0.00
DFT formation energy (eV per atom): 1.722
Fermi-level density of states (states/eV per atom): 1.822
Mass density (g cm⁻³): 6.438

Lattice parameters (Å, degrees): 4.9192 4.9192 4.9192 90.00 90.00 90.00
With the nearest neighbours (Å) after each atom.
Positions (direct):
As (0.5000, 0.5000, 0.5000)  12 Nb 3.48
Nb (0.5000, 0.0000, 0.0000)  2 Ag 2.46
Nb (0.0000, 0.5000, 0.0000)  2 Ag 2.46
Ag (0.0000, 0.0000, 0.0000)  6 Nb 2.46
Nb (0.0000, 0.0000, 0.5000)  2 Ag 2.46